1.
Ag2Pt3: single point on PBEsol structure, meta-GGA SCAN.

The structure in POSCAR format:
```
Ag2Pt3
1.0
-1.7434 -1.6933 -1.2987
2.8458 -3.8270 1.1696
-7.0185 0.1431 9.2354
Pt Ag
6 4
direct
0.7500 0.3466 0.3020
0.2500 0.2542 0.5003
0.2500 0.0252 0.9017
0.7500 0.9748 0.0983
0.7500 0.7458 0.4997
0.2500 0.6534 0.6980
0.7500 0.5312 0.8986
0.2500 0.4688 0.1014
0.7500 0.1495 0.7010
0.2500 0.8505 0.2990
```

Calculated values
Symmetry   P2_1/m, No. 11
Formation enthalpy at 0 K   2.97 kJ per mole of atoms
M_tot   0.00 μB/cell

***

2.
Ag3Pt2: single point on PBEsol structure, meta-GGA SCAN.

The structure in POSCAR format:
```
Ag3Pt2
1.0
-2.5590 -0.1508 1.0610
0.7548 -3.7978 1.2807
3.2638 4.4850 4.8824
Pt Ag
2 3
direct
0.5986 0.5986 0.1972
0.4014 0.4014 0.8028
0.8007 0.8007 0.6014
0.1993 0.1993 0.3986
0.0000 0.0000 0.0000
```

Calculated values
Symmetry   Immm, No. 71
Formation enthalpy at 0 K   4.07 kJ per mole of atoms
M_tot   0.00 μB/cell

***

3.
Ag3Pt2: single point on PBEsol structure, meta-GGA SCAN.

The structure in POSCAR format:
```
Ag3Pt2
1.0
4.8477 0.0024 -0.0040
-1.5766 5.3792 0.0011
-0.8489 -1.6912 6.0528
Ag Pt
6 4
direct
0.7952 0.8467 0.6013
0.6032 0.9535 0.1992
0.3968 0.0465 0.8008
0.2048 0.1533 0.3987
0.7976 0.3516 0.6015
0.2024 0.6484 0.3985
0.0078 0.2533 0.0010
0.6078 0.4513 0.1919
0.3922 0.5487 0.8081
0.9922 0.7467 0.9990
```

Calculated values
Symmetry   P-1, No. 2
Formation enthalpy at 0 K   2.31 kJ per mole of atoms
M_tot   0.00 μB/cell

***

4.
Ag5Pt6: single point on PBEsol structure, meta-GGA SCAN.

The structure in POSCAR format:
```
Ag5Pt6
1.0
-2.2754 -0.7349 3.1285
5.0429 -1.6152 3.2884
0.5100 7.4166 -0.3649
Ag Pt
5 6
direct
0.0008 0.9963 0.0017
0.5460 0.7242 0.0920
0.0895 0.4530 0.1789
0.7265 0.6397 0.4531
0.2716 0.3694 0.5431
0.6353 0.1766 0.2707
0.1878 0.9242 0.3757
0.8190 0.0903 0.6381
0.3645 0.8162 0.7289
0.9077 0.5418 0.8153
0.4512 0.2683 0.9025
```

Calculated values
Symmetry   Cm, No. 8
Formation enthalpy at 0 K   4.32 kJ per mole of atoms
M_tot   0.00 μB/cell

***

5.
Ag3Pt2: single point on PBEsol structure, meta-GGA SCAN.

The structure in POSCAR format:
```
Ag3Pt2
1.0
-0.3568 2.6643 -0.7051
-5.5207 -1.7269 -3.7315
-2.9543 1.6850 7.8615
Pt Ag
4 6
direct
0.0000 0.5000 0.0000
0.5000 0.2081 0.0902
0.5000 0.0000 0.5000
0.5000 0.7919 0.9098
0.0000 0.7010 0.6031
0.5000 0.6028 0.2998
0.5000 0.3972 0.7002
0.0000 0.2990 0.3969
0.0000 0.0901 0.7974
0.0000 0.9099 0.2026
```

Calculated values
Symmetry   P2/m, No. 10
Formation enthalpy at 0 K   0.09 kJ per mole of atoms
M_tot   0.00 μB/cell

***

6.
Ag5Pt: single point on PBEsol structure, meta-GGA SCAN.

The structure in POSCAR format:
```
Ag5Pt
1.0
4.6490 0.0000 0.0000
0.0000 4.9189 0.0000
0.0000 -2.4595 4.2599
Pt Ag
1 5
direct
0.5000 0.0000 0.0000
0.0000 0.6720 0.0000
0.0000 0.0000 0.6720
0.0000 0.3280 0.3280
0.5000 0.3333 0.6667
0.5000 0.6667 0.3333
```

Calculated values
Symmetry   P-62m, No. 189
Formation enthalpy at 0 K   0.58 kJ per mole of atoms
M_tot   0.00 μB/cell

***

7.
AgPt4: single point on PBEsol structure, meta-GGA SCAN.

The structure in POSCAR format:
```
AgPt4
1.0
3.8932 0.0000 0.0000
1.9466 4.4165 0.0000
1.9466 0.0000 4.4165
Pt Ag
4 1
direct
0.3969 0.4065 0.7997
0.8034 0.7997 0.5935
0.6031 0.5935 0.2003
0.1966 0.2003 0.4065
0.0000 0.0000 0.0000
```

Calculated values
Symmetry   I4/m, No. 87
Formation enthalpy at 0 K   5.63 kJ per mole of atoms
M_tot   0.50 μB/cell

***

8.
Ag5Pt7: single point on PBEsol structure, meta-GGA SCAN.

The structure in POSCAR format:
```
Ag5Pt7
1.0
4.8384 -0.0024 -0.0122
1.6354 6.0467 -0.0056
0.1102 2.6074 6.3546
Ag Pt
5 7
direct
0.7514 0.7490 0.7474
0.1720 0.9953 0.6647
0.0000 0.5000 0.5000
0.8280 0.0047 0.3353
0.2486 0.2510 0.2526
0.5847 0.2559 0.5886
0.4153 0.7441 0.4114
0.6590 0.5115 0.1638
0.0848 0.7531 0.0779
0.5000 0.0000 0.0000
0.9152 0.2469 0.9221
0.3410 0.4885 0.8362
```

Calculated values
Symmetry   P-1, No. 2
Formation enthalpy at 0 K   3.81 kJ per mole of atoms
M_tot   0.00 μB/cell

***

9.
Ag3Pt2: single point on PBEsol structure, meta-GGA SCAN.

The structure in POSCAR format:
```
Ag3Pt2
1.0
2.7836 0.0000 0.0000
0.0000 6.9654 -0.0070
0.0000 -2.3323 8.1290
Pt Ag
4 6
direct
0.5000 0.5052 0.5028
0.5000 0.6992 0.1090
0.0000 0.7939 0.3991
0.5000 0.9038 0.6885
0.0000 0.9939 0.9930
0.5000 0.0964 0.2999
0.0000 0.2073 0.5989
0.5000 0.3003 0.9015
0.0000 0.3948 0.2029
0.0000 0.6052 0.8044
```

Calculated values
Symmetry   Pm, No. 6
Formation enthalpy at 0 K   -0.06 kJ per mole of atoms
M_tot   0.00 μB/cell

***

10.
Ag4Pt5: single point on PBEsol structure, meta-GGA SCAN.

The structure in POSCAR format:
```
Ag4Pt5
1.0
2.7607 0.0000 0.0000
1.3804 4.6150 0.0060
1.3804 0.4989 10.9842
Pt Ag
5 4
direct
0.3435 0.1539 0.1591
0.8844 0.2865 0.9446
0.0000 0.5000 0.5000
0.1156 0.7135 0.0554
0.6565 0.8461 0.8409
0.2209 0.9447 0.6136
0.7791 0.0553 0.3864
0.4396 0.3983 0.7224
0.5604 0.6017 0.2776
```

Calculated values
Symmetry   C2/m, No. 12
Formation enthalpy at 0 K   3.13 kJ per mole of atoms
M_tot   0.12 μB/cell

***

11.
Ag7Pt4: single point on PBEsol structure, meta-GGA SCAN.

The structure in POSCAR format:
```
Ag7Pt4
1.0
-1.9537 1.0124 -1.7192
-0.8302 -4.7524 -4.1228
-8.1660 -3.6140 4.8841
Ag Pt
7 4
direct
0.9965 0.0013 0.0058
0.7261 0.6409 0.9068
0.4563 0.2668 0.8205
0.9075 0.5486 0.6364
0.6357 0.1840 0.5446
0.3654 0.8160 0.4533
0.8199 0.0898 0.2705
0.1817 0.9112 0.7254
0.0926 0.4530 0.3619
0.5499 0.7150 0.1852
0.2685 0.3734 0.0896
```

Calculated values
Symmetry   Cm, No. 8
Formation enthalpy at 0 K   0.35 kJ per mole of atoms
M_tot   0.00 μB/cell

***

12.
Ag4Pt: single point on PBEsol structure, meta-GGA SCAN.

The structure in POSCAR format:
```
Ag4Pt
1.0
-0.9993 -1.9874 1.7267
-0.7012 -2.5291 -1.0206
10.3272 -5.3054 2.1666
Pt Ag
1 4
direct
0.0000 0.0000 0.0000
0.6006 0.6006 0.1982
0.2004 0.2004 0.3988
0.7996 0.7996 0.6012
0.3994 0.3994 0.8018
```

Calculated values
Symmetry   R-3m, No. 166
Formation enthalpy at 0 K   -1.39 kJ per mole of atoms
M_tot   0.00 μB/cell

***

| no. | D(E_F) (states/eV/atom) |
| --- | --- |
| 1 | 0.63 |
| 2 | 0.37 |
| 3 | 0.50 |
| 4 | 0.69 |
| 5 | 0.45 |
| 6 | 0.26 |
| 7 | 1.08 |
| 8 | 0.81 |
| 9 | 0.51 |
| 10 | 0.75 |
| 11 | 0.47 |
| 12 | 0.35 |